1.
The following is a PBE-GGA calculation of a relaxed structure of PmLuZn4, from Alexandria.

Structure (POSCAR):
```
PmLuZn4
1.0
5.472 0.000 0.000
2.736 4.739 0.000
2.736 1.580 4.468
Zn Lu Pm
4 1 1
Cartesian
5.472 3.160 0.556
4.102 3.951 2.794
6.843 3.951 2.794
5.472 1.577 2.794
0.000 0.000 0.000
2.736 1.580 1.117
```

Output
total magnetic moment = 0.00 μB/f.u.
electronic total energy = -16.3 eV for the cell shown
energy of formation from the pure elements = -317 meV per atom



2.
The following is a PBE-GGA calculation of a relaxed structure of Pm2LuZn, from Alexandria.

Structure (POSCAR):
```
Pm2LuZn
1.0
5.385 0.000 0.000
2.692 4.663 0.000
2.692 1.554 4.397
Lu Pm Zn
1 2 1
Cartesian
0.000 0.000 0.000
2.692 1.554 1.099
8.077 4.663 3.297
5.385 3.109 2.198
```

Output
total magnetic moment = 0.00 μB/f.u.
electronic total energy = -15.3 eV for the cell shown
energy of formation from the pure elements = 3 meV per atom



3.
The following is a PBE-GGA calculation of a relaxed structure of Pm2LuZr, from Alexandria.

Structure (POSCAR):
```
Pm2LuZr
1.0
-5.183 0.147 -1.877
-4.218 0.050 3.552
-3.029 4.567 0.619
Pm Lu Zr
2 1 1
Cartesian
-9.322 3.573 1.720
-3.107 1.191 0.573
0.000 0.000 0.000
-6.215 2.382 1.147
```

Output
total magnetic moment = 1.41 μB/f.u.
electronic total energy = -21.8 eV for the cell shown
energy of formation from the pure elements = 203 meV per atom



- electronic total energy of number 3 (Pm2LuZr)?
  -21.8 eV for the cell shown